## AcCu2Pd2 (PBE-GGA)

Data for a relaxed structure of AcCu2Pd2.

The value obtained for the density of states at the Fermi level is 2.70 states/eV/f.u. As for the relative energy among the computed polymorphs: 0.0 meV per atom. For the total energy, the calculation gives -4.9652 eV per atom. Its formation enthalpy at 0 K is -0.428 eV per atom.

The space group is I4/mmm (No. 139) and the conventional cell measures 4.2748, 4.2748 and 21.4137 Å, with angles of 90.00, 90.00 and 90.00 degrees. The distinct sites, in fractional coordinates, are Ac at (0.0000, 0.0000, 0.1225), Cu at (0.0000, 0.0000, 0.4338), Cu at (0.0000, 0.5000, 0.2500), Pd at (0.0000, 0.0000, 0.3171) and Pd at (0.0000, 0.5000, 0.0000).

## BaAl3Br (PBE-GGA)

Data for a relaxed structure of BaAl3Br.

The value obtained for the density of states at the Fermi level is 7.56 states/eV/f.u. As for the relative energy among the computed polymorphs: 825.2 meV per atom. The formation energy without anion corrections is 563 kJ/mol of formula units. For the total energy, the calculation gives -1.7985 eV per atom.

The space group is Pm-3m (No. 221) and the conventional cell measures 6.3905, 6.3905 and 6.3905 Å, with angles of 90.00, 90.00 and 90.00 degrees. The distinct sites, in fractional coordinates, are Ba at (0.0000, 0.0000, 0.0000), Al at (0.0000, 0.0000, 0.5000) and Br at (0.5000, 0.5000, 0.5000).

## PmTm2InAu4 (PBE-GGA)

Data for a relaxed structure of PmTm2InAu4.

The value obtained for the density of states at the Fermi level is 4.40 states/eV/f.u. For the total energy, the calculation gives -4.4435 eV per atom. Its formation enthalpy at 0 K is -0.751 eV per atom.

The space group is R-3m (No. 166, hexagonal axes) and the conventional cell measures 5.0060, 5.0060 and 25.0432 Å, with angles of 90.00, 90.00 and 120.00 degrees. The distinct sites, in fractional coordinates, are Pm at (0.0000, 0.0000, 0.0000), Tm at (0.0000, 0.0000, 0.2422), In at (0.0000, 0.0000, 0.5000), Au at (0.0000, 0.0000, 0.1209) and Au at (0.0000, 0.0000, 0.3710).

## RbC2Cl (PBE-GGA)

Data for a relaxed structure of RbC2Cl.

The value obtained for the density of states at the Fermi level is 1.80 states/eV/f.u. As for the relative energy among the computed polymorphs: 0.0 meV per atom. The formation energy without anion corrections is 745 kJ/mol of formula units. For the total energy, the calculation gives -3.3842 eV per atom.

The space group is I4_1/amd (No. 141, origin choice 2) and the conventional cell measures 4.0683, 4.0683 and 19.1555 Å, with angles of 90.00, 90.00 and 90.00 degrees. The distinct sites, in fractional coordinates, are Rb at (0.0000, 0.2500, 0.3750), C at (0.0000, 0.0000, 0.0000) and Cl at (0.0000, 0.2500, 0.8750).

## Ta2Ni2P (PBE-GGA)

Data for a relaxed structure of Ta2Ni2P.

The value obtained for the density of states at the Fermi level is 3.36 states/eV/f.u. As for the relative energy among the computed polymorphs: 643.6 meV per atom. For the total energy, the calculation gives -7.7395 eV per atom. Its formation enthalpy at 0 K is 0.396 eV per atom.

The space group is I4/mmm (No. 139) and the conventional cell measures 4.1399, 4.1399 and 9.6968 Å, with angles of 90.00, 90.00 and 90.00 degrees. The distinct sites, in fractional coordinates, are Ta at (0.0000, 0.5000, 0.2500), Ni at (0.0000, 0.0000, 0.1106) and P at (0.0000, 0.0000, 0.5000).

## Ca2Be4GaSi3 (PBE-GGA)

Data for a relaxed structure of Ca2Be4GaSi3.

The value obtained for the density of states at the Fermi level is 1.19 states/eV/f.u. The formation energy without anion corrections is -251 kJ/mol of formula units. For the total energy, the calculation gives -4.0807 eV per atom.

The space group is P-4m2 (No. 115) and the conventional cell measures 3.9077, 3.9077 and 9.9040 Å, with angles of 90.00, 90.00 and 90.00 degrees. The distinct sites, in fractional coordinates, are Ca at (0.0000, 0.5000, 0.2432), Be at (0.0000, 0.0000, 0.0000), Be at (0.0000, 0.5000, 0.6395), Be at (0.5000, 0.5000, 0.0000), Ga at (0.0000, 0.0000, 0.5000), Si at (0.0000, 0.5000, 0.8699) and Si at (0.5000, 0.5000, 0.5000).

## VAs2I4 (PBE-GGA)

Data for a relaxed structure of VAs2I4.

The value obtained for the density of states at the Fermi level is 9.52 states/eV/f.u. The formation energy without anion corrections is 120 kJ/mol of formula units. For the total energy, the calculation gives -3.3395 eV per atom.

The space group is I4/mmm (No. 139) and the conventional cell measures 5.9852, 5.9852 and 15.5942 Å, with angles of 90.00, 90.00 and 90.00 degrees. The distinct sites, in fractional coordinates, are V at (0.0000, 0.0000, 0.0000), As at (0.0000, 0.0000, 0.4267), I at (0.0000, 0.0000, 0.1696) and I at (0.0000, 0.5000, 0.0000).

## La3Mg (PBE-GGA)

Data for a relaxed structure of La3Mg.

The value obtained for the density of states at the Fermi level is 4.68 states/eV/f.u. For the total energy, the calculation gives -4.1437 eV per atom. Its formation enthalpy at 0 K is -0.050 eV per atom.

The space group is P4/mmm (No. 123) and the conventional cell measures 3.7786, 3.7786 and 9.4893 Å, with angles of 90.00, 90.00 and 90.00 degrees. The distinct sites, in fractional coordinates, are La at (0.0000, 0.0000, 0.0000), La at (0.5000, 0.5000, 0.2669) and Mg at (0.0000, 0.0000, 0.5000).

## Cs3Pm3SnSe8 (PBE-GGA)

Data for a relaxed structure of Cs3Pm3SnSe8.

The value obtained for the density of states at the Fermi level is 1.83 states/eV/f.u. The formation energy without anion corrections is -2073 kJ/mol of formula units. For the total energy, the calculation gives -4.6782 eV per atom.

The space group is R-3m (No. 166, hexagonal axes) and the conventional cell measures 8.5428, 8.5428 and 25.8028 Å, with angles of 90.00, 90.00 and 120.00 degrees. The distinct sites, in fractional coordinates, are Cs at (0.0000, 0.5000, 0.0000), Pm at (0.0000, 0.5000, 0.5000), Sn at (0.0000, 0.0000, 0.5000), Se at (0.0000, 0.0000, 0.2294) and Se at (0.0187, 0.5094, 0.2274).

## MnNiS2 (PBE-GGA)

Data for a relaxed structure of MnNiS2.

The value obtained for the density of states at the Fermi level is 4.65 states/eV/f.u. As for the relative energy among the computed polymorphs: 88.2 meV per atom. The formation energy without anion corrections is -136 kJ/mol of formula units. For the total energy, the calculation gives -6.1540 eV per atom.

The space group is I-42d (No. 122) and the conventional cell measures 5.0642, 5.0642 and 9.8966 Å, with angles of 90.00, 90.00 and 90.00 degrees. The distinct sites, in fractional coordinates, are Mn at (0.0000, 0.0000, 0.0000), Ni at (0.0000, 0.0000, 0.5000) and S at (0.2411, 0.2500, 0.1250).

## LuScPt (PBE-GGA)

Data for a relaxed structure of LuScPt.

The value obtained for the density of states at the Fermi level is 2.87 states/eV/f.u. For the total energy, the calculation gives -6.5310 eV per atom. Its formation enthalpy at 0 K is -0.900 eV per atom.

The space group is F-43m (No. 216) and the conventional cell measures 6.5968, 6.5968 and 6.5968 Å, with angles of 90.00, 90.00 and 90.00 degrees. The distinct sites, in fractional coordinates, are Lu at (0.0000, 0.0000, 0.0000), Sc at (0.0000, 0.0000, 0.5000) and Pt at (0.2500, 0.2500, 0.2500).

## K2CrInTe4 (PBE-GGA)

Data for a relaxed structure of K2CrInTe4.

The value obtained for the density of states at the Fermi level is 2.02 states/eV/f.u. The formation energy without anion corrections is -396 kJ/mol of formula units. For the total energy, the calculation gives -3.9040 eV per atom.

The space group is Imma (No. 74) and the conventional cell measures 8.7660, 9.1908 and 12.7095 Å, with angles of 90.00, 90.00 and 90.00 degrees. The distinct sites, in fractional coordinates, are K at (0.0000, 0.0000, 0.0000), K at (0.2500, 0.2500, 0.2500), Cr at (0.2500, 0.2500, 0.7500), In at (0.0000, 0.0000, 0.5000), Te at (0.0000, 0.0505, 0.7398) and Te at (0.2274, 0.2500, 0.5275).